Entry 1:
First-principles (PBE) data for Sm4HoEr2Tm after structural relaxation, as listed in Alexandria via LeMat-Bulk.

Summary:
symmetry = Pmmm, No. 47
crystal system = orthorhombic

a b c (Å): 5.0679 5.0535 11.2090
angles (deg): 63.20 90.00 90.00
Closest atoms and distances in Å follow each position.
Element x y z (fractional)
Sm 0.0000 0.7507 0.7493  2 Tm 3.55, 4 Er 3.56, 2 Ho 3.57, 4 Sm 3.58
Sm 0.0000 0.2493 0.2507  2 Tm 3.55, 4 Er 3.56, 2 Ho 3.57, 4 Sm 3.58
Sm 0.5000 0.7493 0.2507  4 Er 3.55-3.57, 2 Tm 3.56, 2 Ho 3.56, 4 Sm 3.58
Sm 0.5000 0.2507 0.7493  4 Er 3.55-3.57, 2 Tm 3.56, 2 Ho 3.56, 4 Sm 3.58
Ho 0.5000 0.5000 0.0000  8 Sm 3.56-3.57, 4 Er 3.58
Er 0.0000 0.0000 0.0000  8 Sm 3.56-3.57, 4 Ho 3.58
Er 0.5000 0.0000 0.5000  8 Sm 3.55-3.56, 4 Tm 3.58
Tm 0.0000 0.5000 0.5000  8 Sm 3.55-3.56, 4 Er 3.58

---

Entry 2:
First-principles (PBE) data for SmHo3Er2Tm6 after structural relaxation, as listed in Alexandria via LeMat-Bulk.

Summary:
symmetry = C2/m, No. 12
crystal system = monoclinic

a b c (Å): 6.0764 6.0764 11.6257
angles (deg): 94.99 94.99 119.94
Closest atoms and distances in Å follow each position.
Element x y z (fractional)
Sm 0.0000 0.0000 0.0000  6 Er 3.51, 6 Tm 3.51-3.52
Ho 0.1669 0.8331 0.5000  6 Tm 3.50, 6 Ho 3.50-3.51
Ho 0.8331 0.1669 0.5000  6 Tm 3.50, 6 Ho 3.50-3.51
Ho 0.5000 0.5000 0.5000  6 Tm 3.50, 6 Ho 3.50-3.51
Er 0.3333 0.6667 0.0000  3 Sm 3.51, 3 Er 3.51, 6 Tm 3.51
Er 0.6667 0.3333 0.0000  3 Sm 3.51, 3 Er 3.51, 6 Tm 3.51
Tm 0.9159 0.5822 0.7492  3 Ho 3.50, 6 Tm 3.51-3.52, 2 Er 3.51, 1 Sm 3.52
Tm 0.7502 0.7502 0.2507  3 Ho 3.50, 6 Tm 3.51-3.52, 1 Sm 3.51, 2 Er 3.51
Tm 0.0841 0.4178 0.2508  3 Ho 3.50, 6 Tm 3.51-3.52, 2 Er 3.51, 1 Sm 3.52
Tm 0.5822 0.9159 0.7492  3 Ho 3.50, 6 Tm 3.51-3.52, 2 Er 3.51, 1 Sm 3.52
Tm 0.2498 0.2498 0.7493  3 Ho 3.50, 6 Tm 3.51-3.52, 1 Sm 3.51, 2 Er 3.51
Tm 0.4178 0.0841 0.2508  3 Ho 3.50, 6 Tm 3.51-3.52, 2 Er 3.51, 1 Sm 3.52

---

Entry 3:
First-principles (PBE) data for Sm3Ho2Er6Tm after structural relaxation, as listed in Alexandria via LeMat-Bulk.

Summary:
symmetry = C2/m, No. 12
crystal system = monoclinic

a b c (Å): 6.1274 6.1274 11.6983
angles (deg): 95.00 95.00 119.95
Closest atoms and distances in Å follow each position.
Element x y z (fractional)
Sm 0.1666 0.8334 0.5000  6 Sm 3.54, 6 Er 3.56
Sm 0.8334 0.1666 0.5000  6 Sm 3.54, 6 Er 3.56
Sm 0.5000 0.5000 0.5000  6 Sm 3.54, 6 Er 3.56
Ho 0.3334 0.6666 0.0000  6 Er 3.50, 3 Ho 3.54, 3 Tm 3.54
Ho 0.6666 0.3334 0.0000  6 Er 3.50, 3 Ho 3.54, 3 Tm 3.54
Er 0.9178 0.5847 0.7532  1 Tm 3.50, 2 Ho 3.50, 6 Er 3.53-3.54, 3 Sm 3.56
Er 0.7490 0.7490 0.2470  1 Tm 3.50, 2 Ho 3.50, 6 Er 3.54, 3 Sm 3.56
Er 0.0822 0.4153 0.2468  1 Tm 3.50, 2 Ho 3.50, 6 Er 3.53-3.54, 3 Sm 3.56
Er 0.5847 0.9178 0.7532  1 Tm 3.50, 2 Ho 3.50, 6 Er 3.53-3.54, 3 Sm 3.56
Er 0.2510 0.2510 0.7530  1 Tm 3.50, 2 Ho 3.50, 6 Er 3.54, 3 Sm 3.56
Er 0.4153 0.0822 0.2468  1 Tm 3.50, 2 Ho 3.50, 6 Er 3.53-3.54, 3 Sm 3.56
Tm 0.0000 0.0000 0.0000  6 Er 3.50, 6 Ho 3.54

---

Entry 4:
First-principles (PBE) data for Sm2HoErTm6 after structural relaxation, as listed in Alexandria via LeMat-Bulk.

Summary:
symmetry = C2/c, No. 15
crystal system = monoclinic

a b c (Å): 9.5415 8.6723 8.6723
angles (deg): 118.12 94.49 94.49
Closest atoms and distances in Å follow each position.
Element x y z (fractional)
Sm 0.4566 0.8057 0.7012  6 Tm 3.22-3.61, 2 Ho 3.32-3.34, 1 Er 3.51
Sm 0.0434 0.2988 0.1943  6 Tm 3.22-3.61, 2 Ho 3.32-3.34, 1 Er 3.51
Sm 0.5434 0.1943 0.2988  6 Tm 3.22-3.61, 2 Ho 3.32-3.34, 1 Er 3.51
Sm 0.9566 0.7012 0.8057  6 Tm 3.22-3.61, 2 Ho 3.32-3.34, 1 Er 3.51
Ho 0.2500 0.9804 0.0196  4 Sm 3.32-3.34, 4 Tm 3.53-3.62
Ho 0.7500 0.0196 0.9804  4 Sm 3.32-3.34, 4 Tm 3.53-3.62
Er 0.2500 0.4072 0.5928  8 Tm 3.39-3.72, 2 Sm 3.51
Er 0.7500 0.5928 0.4072  8 Tm 3.39-3.72, 2 Sm 3.51
Tm 0.0574 0.1261 0.7460  7 Tm 3.36-3.68, 1 Sm 3.46, 1 Ho 3.62, 1 Er 3.72
Tm 0.4426 0.2540 0.8739  7 Tm 3.36-3.68, 1 Sm 3.46, 1 Ho 3.62, 1 Er 3.72
Tm 0.9426 0.8739 0.2540  7 Tm 3.36-3.68, 1 Sm 3.46, 1 Ho 3.62, 1 Er 3.72
Tm 0.5574 0.7460 0.1261  7 Tm 3.36-3.68, 1 Sm 3.46, 1 Ho 3.62, 1 Er 3.72
Tm 0.3139 0.9780 0.4251  2 Tm 3.19-3.52, 1 Sm 3.34, 1 Er 3.43, 1 Ho 3.53
Tm 0.1861 0.5749 0.0220  2 Tm 3.19-3.52, 1 Sm 3.34, 1 Er 3.43, 1 Ho 3.53
Tm 0.6861 0.0220 0.5749  2 Tm 3.19-3.52, 1 Sm 3.34, 1 Er 3.43, 1 Ho 3.53
Tm 0.8139 0.4251 0.9780  2 Tm 3.19-3.52, 1 Sm 3.34, 1 Er 3.43, 1 Ho 3.53
Tm 0.1192 0.7090 0.4973  4 Tm 3.19-3.46, 3 Sm 3.22-3.39, 2 Er 3.39-3.51
Tm 0.3808 0.5027 0.2910  4 Tm 3.19-3.46, 3 Sm 3.22-3.39, 2 Er 3.39-3.51
Tm 0.8808 0.2910 0.5027  4 Tm 3.19-3.46, 3 Sm 3.22-3.39, 2 Er 3.39-3.51
Tm 0.6192 0.4973 0.7090  4 Tm 3.19-3.46, 3 Sm 3.22-3.39, 2 Er 3.39-3.51

---

Entry 5:
First-principles (PBE) data for SmHo2Er3Tm6 after structural relaxation, as listed in Alexandria via LeMat-Bulk.

Summary:
symmetry = C2/m, No. 12
crystal system = monoclinic

a b c (Å): 6.0743 6.0743 11.6206
angles (deg): 94.99 94.99 119.93
Closest atoms and distances in Å follow each position.
Element x y z (fractional)
Sm 0.0000 0.0000 0.0000  6 Ho 3.51, 6 Tm 3.52
Ho 0.3333 0.6667 0.0000  3 Sm 3.51, 3 Ho 3.51, 6 Tm 3.52
Ho 0.6667 0.3333 0.0000  3 Sm 3.51, 3 Ho 3.51, 6 Tm 3.52
Er 0.1668 0.8332 0.5000  6 Tm 3.49, 6 Er 3.50-3.51
Er 0.8332 0.1668 0.5000  6 Tm 3.49, 6 Er 3.50-3.51
Er 0.5000 0.5000 0.5000  6 Tm 3.49, 6 Er 3.50-3.51
Tm 0.9157 0.5820 0.7486  3 Er 3.49, 6 Tm 3.50-3.51, 2 Ho 3.52, 1 Sm 3.52
Tm 0.7505 0.7505 0.2514  3 Er 3.49, 6 Tm 3.50-3.51, 1 Sm 3.52, 2 Ho 3.52
Tm 0.0843 0.4180 0.2514  3 Er 3.49, 6 Tm 3.50-3.51, 2 Ho 3.52, 1 Sm 3.52
Tm 0.5820 0.9157 0.7486  3 Er 3.49, 6 Tm 3.50-3.51, 2 Ho 3.52, 1 Sm 3.52
Tm 0.2495 0.2495 0.7486  3 Er 3.49, 6 Tm 3.50-3.51, 1 Sm 3.52, 2 Ho 3.52
Tm 0.4180 0.0843 0.2514  3 Er 3.49, 6 Tm 3.50-3.51, 2 Ho 3.52, 1 Sm 3.52

---

Entry 6:
First-principles (PBE) data for Sm6Ho2ErTm3 after structural relaxation, as listed in Alexandria via LeMat-Bulk.

Summary:
symmetry = C2/m, No. 12
crystal system = monoclinic

a b c (Å): 6.1852 6.1852 11.7231
angles (deg): 95.03 95.03 119.98
Closest atoms and distances in Å follow each position.
Element x y z (fractional)
Sm 0.9161 0.5828 0.7491  3 Tm 3.54, 2 Ho 3.55-3.56, 1 Er 3.56, 6 Sm 3.57
Sm 0.7507 0.7507 0.2511  3 Tm 3.54, 1 Er 3.55, 2 Ho 3.56, 6 Sm 3.57
Sm 0.0839 0.4172 0.2509  3 Tm 3.54, 2 Ho 3.55-3.56, 1 Er 3.56, 6 Sm 3.57
Sm 0.5828 0.9161 0.7491  3 Tm 3.54, 2 Ho 3.55-3.56, 1 Er 3.56, 6 Sm 3.57
Sm 0.2493 0.2493 0.7489  3 Tm 3.54, 1 Er 3.55, 2 Ho 3.56, 6 Sm 3.57
Sm 0.4172 0.0839 0.2509  3 Tm 3.54, 2 Ho 3.55-3.56, 1 Er 3.56, 6 Sm 3.57
Ho 0.3334 0.6666 0.0000  6 Sm 3.55-3.56, 3 Ho 3.57, 3 Er 3.57
Ho 0.6666 0.3334 0.0000  6 Sm 3.55-3.56, 3 Ho 3.57, 3 Er 3.57
Er 0.0000 0.0000 0.0000  6 Sm 3.55-3.56, 6 Ho 3.57
Tm 0.1667 0.8333 0.5000  6 Sm 3.54, 6 Tm 3.57
Tm 0.8333 0.1667 0.5000  6 Sm 3.54, 6 Tm 3.57
Tm 0.5000 0.5000 0.5000  6 Sm 3.54, 6 Tm 3.57

---

no.,E_tot (eV/cell),energy of formation from the pure elements (eV/atom)
1,-36.9,0.02
2,-54.1,0.02
3,-54.9,0.02
4,-88.4,0.12
5,-54.1,0.02
6,-55.3,0.02